DFT (PBE) results for a geometry-optimized HoTm3Th structure.

**Total energy**: -4.679 eV/atom
**M_tot**: 0.00 μB per formula unit
**ΔE_f**: 0.404 eV per atom
**Energy above the lowest structure with this stoichiometry**: 257 meV/atom

Lattice parameters (Å, degrees): 6.538 6.538 10.766 90.17 90.17 132.49
Positions (direct):
Ho (0.162, 0.838, 0.000)
Ho (0.838, 0.162, 0.000)
Tm (0.005, 0.005, 0.765)
Tm (0.333, 0.659, 0.271)
Tm (0.341, 0.667, 0.729)
Tm (0.659, 0.333, 0.271)
Tm (0.667, 0.341, 0.729)
Tm (0.995, 0.995, 0.235)
Th (0.143, 0.857, 0.500)
Th (0.857, 0.143, 0.500)